# 1
This record from the Alexandria database describes crystalline Tl2In5Hg4 at its relaxed geometry. The functional is PBE-GGA.

Its space group is Fmmm. The calculation puts the magnetic moment at 0.0 Bohr magnetons per cell. As for the raw total energy: -1.710 eV per atom. The value obtained for the formation energy from the elements is 0.075 eV/atom.

Cell: 6.5510 6.1525 10.3891 Å, 80.34 71.62 57.83°
Element x y z (fractional)
Tl (0.9014, 0.0000, 0.1971)
Tl (0.0986, 0.0000, 0.8029)
In (0.5000, 0.0000, 0.0000)
In (0.0000, 0.5000, 0.0000)
In (0.5000, 0.5000, 0.0000)
In (0.2500, 0.5000, 0.5000)
In (0.7500, 0.5000, 0.5000)
Hg (0.7847, 0.7031, 0.7275)
Hg (0.2153, 0.2969, 0.2725)
Hg (0.5122, 0.7031, 0.2725)
Hg (0.4878, 0.2969, 0.7275)


# 2
This record from the Alexandria database describes crystalline Er7Tm3 at its relaxed geometry. The functional is PBE-GGA.

Its space group is C2/m. The calculation puts the magnetic moment at 0.0 Bohr magnetons per cell. As for the raw total energy: -4.514 eV per atom. The value obtained for the formation energy from the elements is 0.022 eV/atom.

Cell: 4.9248 6.9959 9.2343 Å, 100.89 105.46 90.00°
Element x y z (fractional)
Er (0.0000, 0.5000, 0.0000)
Er (0.7999, 0.8999, 0.5999)
Er (0.2001, 0.1001, 0.4001)
Er (0.6001, 0.3001, 0.2003)
Er (0.3999, 0.6999, 0.7997)
Er (0.6000, 0.7998, 0.1999)
Er (0.4000, 0.2002, 0.8001)
Tm (0.0000, 0.0000, 0.0000)
Tm (0.7999, 0.4000, 0.5997)
Tm (0.2001, 0.6000, 0.4003)


# 3
This record from the Alexandria database describes crystalline Cs4K4Ag at its relaxed geometry. The functional is PBE-GGA.

Its space group is C2/m. The calculation puts the magnetic moment at 0.0 Bohr magnetons per cell. As for the raw total energy: -1.166 eV per atom. The value obtained for the formation energy from the elements is 0.018 eV/atom.

Cell: 5.3084 9.1613 16.1455 Å, 77.28 80.54 73.16°
Element x y z (fractional)
Cs (0.3412, 0.0970, 0.2206)
Cs (0.6588, 0.9030, 0.7794)
Cs (0.8888, 0.2951, 0.9273)
Cs (0.1112, 0.7049, 0.0727)
K (0.5833, 0.4981, 0.3353)
K (0.8641, 0.8054, 0.4665)
K (0.4167, 0.5019, 0.6647)
K (0.1359, 0.1946, 0.5335)
Ag (0.5000, 0.0000, 0.0000)